# 1
Density functional theory data (GGA-PBE) for a geometry-optimized K4MoRh structure.

Properties
For the magnetization, the calculation gives 4.94 μB per formula unit. The value obtained for the total energy is -2.34 eV/atom. As for the space-group type: F-43m. The theoretical density comes out at 2.9 g/cm³. Its energy of formation is 1.42 eV per atom.

CIF file:
```
data_K4MoRh
_chemical_formula_sum 'K4 Mo1 Rh1'
_symmetry_space_group_name_H-M 'P 1'
_symmetry_Int_Tables_number 1
_symmetry_space_group_name_Hall 'P 1'
_cell_length_a 6.616
_cell_length_b 6.616
_cell_length_c 6.616
_cell_angle_alpha 60.00
_cell_angle_beta 60.00
_cell_angle_gamma 60.00
loop_
_atom_site_label
_atom_site_fract_x
_atom_site_fract_y
_atom_site_fract_z
K1 0.374 0.374 0.878
K2 0.374 0.878 0.374
K3 0.878 0.374 0.374
K4 0.374 0.374 0.374
Rh1 0.000 0.000 0.000
Mo1 0.750 0.750 0.750
```

# 2
Density functional theory data (GGA-PBE) for a geometry-optimized SmMgAl2Ag4 structure.

Properties
For the magnetization, the calculation gives 0.00 μB per formula unit. The value obtained for the total energy is -3.37 eV/atom. As for the space-group type: R-3m. The theoretical density comes out at 7.0 g/cm³. Its energy of formation is -0.22 eV per atom.

CIF file:
```
data_SmMgAl2Ag4
_chemical_formula_sum 'Sm1 Mg1 Al2 Ag4'
_symmetry_space_group_name_H-M 'P 1'
_symmetry_Int_Tables_number 1
_symmetry_space_group_name_Hall 'P 1'
_cell_length_a 4.566
_cell_length_b 4.566
_cell_length_c 9.054
_cell_angle_alpha 75.40
_cell_angle_beta 75.40
_cell_angle_gamma 60.00
loop_
_atom_site_label
_atom_site_fract_x
_atom_site_fract_y
_atom_site_fract_z
Ag1 0.130 0.130 0.611
Ag2 0.870 0.870 0.389
Ag3 0.397 0.397 0.810
Ag4 0.603 0.603 0.190
Sm1 0.000 0.000 0.000
Al1 0.753 0.753 0.741
Al2 0.247 0.247 0.259
Mg1 0.500 0.500 0.500
```

# 3
Density functional theory data (GGA-PBE) for a geometry-optimized Li2PCl structure.

Properties
The calculation puts the polymorph energy (0 for the lowest one) at 0.036 eV/atom. For the magnetization, the calculation gives 0.00 μB per formula unit. The value obtained for the total energy is -3.58 eV/atom. As for the space-group type: Cm. The theoretical density comes out at 1.9 g/cm³.

CIF file:
```
data_Li2PCl
_chemical_formula_sum 'Li2 P1 Cl1'
_symmetry_space_group_name_H-M 'P 1'
_symmetry_Int_Tables_number 1
_symmetry_space_group_name_Hall 'P 1'
_cell_length_a 7.482
_cell_length_b 7.482
_cell_length_c 3.195
_cell_angle_alpha 90.11
_cell_angle_beta 90.11
_cell_angle_gamma 22.97
loop_
_atom_site_label
_atom_site_fract_x
_atom_site_fract_y
_atom_site_fract_z
Li1 0.056 0.056 0.128
Li2 0.783 0.783 0.623
P1 0.448 0.448 0.627
Cl1 0.213 0.213 0.122
```

# 4
Density functional theory data (GGA-PBE) for a geometry-optimized Mn3SbSe structure.

Properties
The calculation puts the polymorph energy (0 for the lowest one) at 0.352 eV/atom. For the magnetization, the calculation gives 14.00 μB per formula unit. The value obtained for the total energy is -6.17 eV/atom. As for the space-group type: Pm-3m. The theoretical density comes out at 4.5 g/cm³.

CIF file:
```
data_Mn3SbSe
_chemical_formula_sum 'Mn3 Sb1 Se1'
_symmetry_space_group_name_H-M 'P 1'
_symmetry_Int_Tables_number 1
_symmetry_space_group_name_Hall 'P 1'
_cell_length_a 5.130
_cell_length_b 5.130
_cell_length_c 5.130
_cell_angle_alpha 90.00
_cell_angle_beta 90.00
_cell_angle_gamma 90.00
loop_
_atom_site_label
_atom_site_fract_x
_atom_site_fract_y
_atom_site_fract_z
Mn1 0.000 0.000 0.500
Mn2 0.500 0.000 0.000
Mn3 0.000 0.500 0.000
Sb1 0.000 0.000 0.000
Se1 0.500 0.500 0.500
```